DFT (GGA-PBEsol) results for crystalline NaCaLa2N at its relaxed geometry.

The space group is P4/mmm (No. 123) and the conventional cell measures 5.578, 5.578 and 4.909 Å, with angles of 90.00, 90.00 and 90.00 degrees. The inequivalent atoms are Na at (0.000, 0.000, 0.000), Ca at (0.000, 0.000, 0.500), La at (0.000, 0.500, 0.500) and N at (0.500, 0.500, 0.000).

The total energy comes out at -2.7161 eV per atom. The calculation puts the density of states at the Fermi level at 1.214 states/eV/atom. Its volume is 30.5 Å³/atom. As for the uncorrected formation energy: 1.8343 eV per atom.